Computed, not measured: crystalline Ba2GaCuI at its relaxed geometry at the GGA-PBE level of DFT.

* density: 4.84 g/cm³
* total magnetic moment: 0.00 μB/f.u.
* symmetry: P4/mmm (123)
* total DFT energy (no corrections): -15.38 eV for the cell shown
* formation energy from raw total energies: -276 kJ/mol of formula units

a b c (Å): 6.330 6.330 4.583
angles (deg): 90.00 90.00 90.00
Positions (direct):
Ga1 0.000 0.000 0.500
Cu1 0.000 0.000 0.000
Ba1 0.500 0.000 0.000
Ba2 0.000 0.500 0.000
I1 0.500 0.500 0.500